# LiFePO4, optimized geometry, DFT PBE with a Hubbard U
data_LiFePO4
_space_group_name_H-M_alt 'C 1 c 1'
_space_group_IT_number 9
_cell_length_a 17.675
_cell_length_b 9.970
_cell_length_c 16.709
_cell_angle_alpha 90.00
_cell_angle_beta 98.33
_cell_angle_gamma 90.00
loop_
_space_group_symop_operation_xyz
'x,y,z'
'x,-y,z+1/2'
'x+1/2,y+1/2,z'
'x+1/2,-y+1/2,z+1/2'
loop_
_atom_site_label
_atom_site_type_symbol
_atom_site_fract_x
_atom_site_fract_y
_atom_site_fract_z
Li1 Li 0.000 0.066 0.500
Li2 Li 0.126 0.323 0.752
Li3 Li 0.155 0.155 0.250
Li4 Li 0.220 0.347 0.501
Li5 Li 0.250 0.182 0.000
Li6 Li 0.376 0.429 0.251
Li7 Li 0.405 0.096 0.753
Li8 Li 0.470 0.097 0.501
Fe1 Fe 0.065 0.434 0.376
Fe2 Fe 0.094 0.095 0.873
Fe3 Fe 0.159 0.099 0.624
Fe4 Fe 0.184 0.430 0.124
Fe5 Fe 0.314 0.184 0.375
Fe6 Fe 0.344 0.344 0.874
Fe7 Fe 0.406 0.151 0.124
Fe8 Fe 0.439 0.324 0.626
P1 P 0.068 0.354 0.566
P2 P 0.096 0.173 0.062
P3 P 0.218 0.430 0.314
P4 P 0.245 0.097 0.812
P5 P 0.320 0.106 0.566
P6 P 0.345 0.422 0.064
P7 P 0.468 0.181 0.314
P8 P 0.496 0.348 0.812
O1 O 0.001 0.307 0.301
O2 O 0.024 0.258 0.070
O3 O 0.040 0.236 0.799
O4 O 0.062 0.199 0.571
O5 O 0.077 0.090 0.319
O6 O 0.080 0.073 0.990
O7 O 0.108 0.398 0.494
O8 O 0.116 0.087 0.140
O9 O 0.119 0.406 0.644
O10 O 0.153 0.474 0.830
O11 O 0.164 0.266 0.050
O12 O 0.189 0.157 0.741
O13 O 0.193 0.344 0.236
O14 O 0.211 0.125 0.891
O15 O 0.236 0.333 0.387
O16 O 0.240 0.171 0.559
O17 O 0.252 0.057 0.298
O18 O 0.273 0.493 0.570
O19 O 0.290 0.486 0.801
O20 O 0.312 0.049 0.073
O21 O 0.326 0.161 0.819
O22 O 0.331 0.320 0.992
O23 O 0.358 0.144 0.491
O24 O 0.364 0.336 0.142
O25 O 0.375 0.156 0.641
O26 O 0.403 0.276 0.328
O27 O 0.414 0.486 0.552
O28 O 0.441 0.404 0.739
O29 O 0.443 0.091 0.238
O30 O 0.460 0.382 0.890
O31 O 0.486 0.084 0.057
O32 O 0.487 0.085 0.387
# N(E_F) ... 0.00 states/eV/atom
# Theoretical density ... 2.9 g/cm³
# Total magnetic moment ... 128.00 Bohr magnetons per cell
# Excess energy over the best structure of this formula in the dataset ... 0.04 eV per formula unit